Mg3PtC | GGA-PBE | optimized geometry

The structure in POSCAR format:
```
Mg3PtC
1.0
4.945 0.000 0.000
0.000 4.945 0.000
0.000 0.000 4.945
Mg C Pt
3 1 1
Cartesian
0.000 2.472 0.000
0.000 0.000 2.472
2.472 0.000 0.000
2.472 2.472 2.472
0.000 0.000 0.000
```

Output
For the calculated volume, the calculation gives 120.9 Å³/f.u. The calculation puts the polymorph energy (0 for the lowest one) at 1063 meV/atom. The calculated total energy comes out at -0.112 Ha/atom. As for the calculated formation energy: 0.96 eV per atom. The density of states at the Fermi level is 2.97 states/eV/cell.

MgPtRh2C | GGA-PBE | optimized geometry

The structure in POSCAR format:
```
MgPtRh2C
1.0
-2.822 1.605 2.490
-0.880 -3.738 1.412
2.869 0.444 2.964
Mg Rh C Pt
1 2 1 1
Cartesian
-0.416 -0.844 3.433
-0.440 -1.869 0.706
-1.411 0.803 1.245
0.000 0.000 0.000
1.435 0.222 1.482
```

Output
For the calculated volume, the calculation gives 69.5 Å³/f.u. The calculated total energy comes out at -0.240 Ha/atom. As for the calculated formation energy: -0.22 eV per atom. The density of states at the Fermi level is 1.20 states/eV/cell.

MgSc2PtC | GGA-PBE | optimized geometry

The structure in POSCAR format:
```
MgSc2PtC
1.0
4.467 0.000 0.000
0.000 4.467 0.000
0.000 0.000 4.236
Sc Mg C Pt
2 1 1 1
Cartesian
0.000 2.234 0.000
2.234 0.000 0.000
0.000 0.000 2.118
0.000 0.000 0.000
2.234 2.234 2.118
```

Output
For the calculated volume, the calculation gives 84.5 Å³/f.u. The calculated total energy comes out at -0.238 Ha/atom. As for the calculated formation energy: -0.57 eV per atom. The density of states at the Fermi level is 3.89 states/eV/cell.

Y2MgPtC | GGA-PBE | optimized geometry

The structure in POSCAR format:
```
Y2MgPtC
1.0
4.880 0.000 0.000
0.000 4.880 0.000
0.000 0.000 4.208
Y Mg C Pt
2 1 1 1
Cartesian
0.000 2.440 0.000
2.440 0.000 0.000
0.000 0.000 2.104
0.000 0.000 0.000
2.440 2.440 2.104
```

Output
For the calculated volume, the calculation gives 100.2 Å³/f.u. The calculated total energy comes out at -0.236 Ha/atom. As for the calculated formation energy: -0.47 eV per atom. The density of states at the Fermi level is 3.70 states/eV/cell.

PuMgC | GGA-PBE | optimized geometry

The structure in POSCAR format:
```
PuMgC
1.0
5.022 0.000 0.000
0.000 3.820 0.000
0.000 -1.910 3.308
Mg C Pu
1 1 1
Cartesian
3.348 1.910 1.103
0.836 0.000 2.206
0.838 0.000 0.000
```

Output
For the calculated volume, the calculation gives 63.5 Å³/f.u. The calculation puts the polymorph energy (0 for the lowest one) at 517 meV/atom. The calculated total energy comes out at -0.287 Ha/atom. As for the calculated formation energy: 0.58 eV per atom. The density of states at the Fermi level is 10.21 states/eV/cell.

Pu2MgC | GGA-PBE | optimized geometry

The structure in POSCAR format:
```
Pu2MgC
1.0
3.259 -0.002 -0.614
-1.688 2.854 -0.004
0.060 0.047 9.249
Pu Mg C
2 1 1
Cartesian
1.878 1.112 1.013
-0.251 1.788 7.606
0.801 2.401 4.224
1.629 2.900 8.626
```

Output
For the calculated volume, the calculation gives 86.1 Å³/f.u. The calculated total energy comes out at -0.361 Ha/atom. As for the calculated formation energy: 0.06 eV per atom. The density of states at the Fermi level is 13.33 states/eV/cell.